Entry from Alexandria: CrCd2As after structural relaxation (PBE).

* symmetry: No. 160
* DFT formation energy: 19 kJ per mole of atoms

Geometry as POSCAR:
```
CrCd2As
1.0
8.678 -0.082 -0.048
8.047 3.250 -0.048
8.047 1.524 2.871
Cd Cr As
2 1 1
Cartesian
0.146 0.028 0.016
5.964 1.130 0.668
12.087 2.290 1.354
18.961 3.592 2.123
```